1.
DFT (GGA-PBE) results for a relaxed structure of Na3Mg2In4.

The space group is C2/m (No. 12) and the conventional cell measures 9.3707, 5.0454 and 9.7346 Å, with angles of 90.00, 96.17 and 90.00 degrees. Symmetry generates all atoms from Na at (0.0000, 0.0000, 0.0000), Na at (0.1657, 0.5000, 0.5529), Mg at (0.1708, 0.5000, 0.2080), In at (0.0026, 0.0000, 0.3296) and In at (0.1593, 0.5000, 0.8798).

The calculation puts the energy relative to the elements at -1.9 kcal/mol of atoms. The total moment comes out at 0.00 Bohr magnetons per cell.


2.
DFT (GGA-PBE) results for a relaxed structure of NaMg2In8.

The space group is C2/m (No. 12) and the conventional cell measures 16.5285, 4.7160 and 7.5445 Å, with angles of 90.00, 107.01 and 90.00 degrees. Symmetry generates all atoms from Na at (0.0000, 0.0000, 0.0000), Mg at (0.2289, 0.5000, 0.6412), In at (0.0492, 0.5000, 0.7324), In at (0.0962, 0.0000, 0.4681), In at (0.1407, 0.5000, 0.2006) and In at (0.1836, 0.0000, 0.9174).

Its energy above the most stable polymorph in this dataset is 0.000 eV/atom. The calculation puts the energy relative to the elements at -1.4 kcal/mol of atoms. The total moment comes out at 0.00 Bohr magnetons per cell.


3.
DFT (GGA-PBE) results for a relaxed structure of Na2MgIn8.

The space group is C2/m (No. 12) and the conventional cell measures 16.8800, 4.6965 and 7.5571 Å, with angles of 90.00, 106.10 and 90.00 degrees. Symmetry generates all atoms from Na at (0.2275, 0.0000, 0.1404), Mg at (0.0000, 0.5000, 0.5000), In at (0.0453, 0.0000, 0.2286), In at (0.0881, 0.5000, 0.9495), In at (0.1313, 0.0000, 0.6730) and In at (0.1789, 0.5000, 0.4058).

Its energy above the most stable polymorph in this dataset is 0.000 eV/atom. The calculation puts the energy relative to the elements at -1.5 kcal/mol of atoms. The total moment comes out at 0.00 Bohr magnetons per cell.


4.
DFT (GGA-PBE) results for a relaxed structure of Na2MgIn2.

The space group is P4/mbm (No. 127) and the conventional cell measures 8.8780, 8.8780 and 3.4736 Å, with angles of 90.00, 90.00 and 90.00 degrees. Symmetry generates all atoms from Na at (0.1259, 0.3741, 0.0000), Mg at (0.0000, 0.0000, 0.0000) and In at (0.1729, 0.6729, 0.5000).

Its energy above the most stable polymorph in this dataset is 0.138 eV/atom. The calculation puts the energy relative to the elements at 1.5 kcal/mol of atoms. The total moment comes out at 0.00 Bohr magnetons per cell.